## one
! PBE La2HfO5, relaxed; values from VASP
! SG: Pnma
! Crystal system: orthorhombic
&SYSTEM
  ibrav = 0, nat = 32, ntyp = 3
/
ATOMIC_SPECIES
O 16.00 O.upf
Hf 178.49 Hf.upf
La 138.91 La.upf
ATOMIC_POSITIONS angstrom
O 0.9872 5.7384 10.0366
O 0.9872 8.5636 8.7484
O 0.9872 8.5763 4.6066
O 2.9616 0.0345 10.7214
O 0.9872 2.5845 5.4205
O 0.9872 2.9517 9.1636
O 2.9616 2.6603 3.1929
O 2.9616 8.2722 2.7777
O 2.9616 5.4855 1.9048
O 0.9872 11.1894 1.2199
O 0.9872 0.1264 7.8755
O 2.9616 3.0274 11.3912
O 2.9616 8.2596 10.5773
O 0.9872 8.1965 0.5502
O 2.9616 2.6476 7.3347
O 2.9616 5.6465 7.1906
O 0.9872 5.5774 4.7507
O 2.9616 8.6394 6.5209
O 0.9872 2.9643 1.3640
O 2.9616 11.0975 4.0659
Hf 0.9872 2.0057 7.3775
Hf 0.9872 7.6177 10.5346
Hf 2.9616 9.2182 4.5639
Hf 2.9616 3.6062 1.4068
La 2.9616 4.3726 9.2967
La 0.9872 1.2393 3.3260
La 0.9872 6.8513 2.6447
La 0.9872 1.4767 11.1936
La 2.9616 4.1352 5.2230
La 2.9616 9.7472 0.7477
La 2.9616 9.9846 8.6153
La 0.9872 7.0887 6.7184
CELL_PARAMETERS angstrom
3.9488 0.0000 0.0000
0.0000 11.2239 0.0000
0.0000 0.0000 11.9414

***

## two
! PBE La2HfO5, relaxed; values from VASP
! SG: C2/c
! Crystal system: monoclinic
&SYSTEM
  ibrav = 0, nat = 16, ntyp = 3
/
ATOMIC_SPECIES
O 16.00 O.upf
Hf 178.49 Hf.upf
La 138.91 La.upf
ATOMIC_POSITIONS angstrom
O 5.8907 1.0915 3.8540
O 4.6558 0.4868 0.6920
O 5.1774 4.5937 1.7373
O 7.4744 4.9171 3.3005
O 3.4110 3.0903 0.1742
O 8.1877 1.4149 5.4172
O 8.7093 5.5218 6.4625
O 4.7697 3.7506 4.3718
O 9.9542 2.9183 6.9803
O 8.5954 2.2580 2.7827
Hf 1.3153 0.5913 3.6798
Hf 0.0000 0.0000 0.0000
La 7.5911 3.5713 1.0950
La 9.0251 3.8989 4.7748
La 4.3400 2.1097 2.3797
La 5.7740 2.4373 6.0595
CELL_PARAMETERS angstrom
6.5230 -0.1580 -0.1026
4.2114 4.9839 -0.1026
2.6307 1.1827 7.3596

***

Stability, highest: one